VASP calculation (PBE-GGA) on a relaxed Hf2TiAl crystal.

Structure (POSCAR):
```
Hf2TiAl
1.0
1.545 0.892 9.654
-1.545 0.892 9.654
0.000 -1.785 9.654
Hf Ti Al
2 1 1
Direct
0.000 0.000 0.000
0.167 0.167 0.167
0.584 0.584 0.584
0.417 0.417 0.417
```

**Energy of formation from the pure elements**: -59.7 meV/atom
**Crystal system**: trigonal
**DFT total energy**: -31.8 eV per cell
**Symmetry**: R3m (160)